Here is crystalline ErNpFe2O6 at its relaxed geometry from the Alexandria database. Energies are from PBE+U.

CIF file:
```
data_ErNpFe2O6
_chemical_formula_sum 'Er1 Np1 Fe2 O6'
_cell_length_a 5.503
_cell_length_b 5.535
_cell_length_c 5.843
_cell_angle_alpha 90.23
_cell_angle_beta 117.15
_cell_angle_gamma 119.66
_space_group_name_H-M_alt 'P 1'
_space_group_IT_number 1
loop_
_space_group_symop_operation_xyz
'x,y,z'
loop_
_atom_site_label
_atom_site_type_symbol
_atom_site_fract_x
_atom_site_fract_y
_atom_site_fract_z
Er1 Er 0.000 0.000 0.000
Np1 Np 0.991 0.493 0.482
Fe1 Fe 0.577 0.283 0.861
Fe2 Fe 0.596 0.810 0.382
O1 O 0.100 0.204 0.687
O2 O 0.109 0.412 0.205
O3 O 0.489 0.890 0.677
O4 O 0.506 0.104 0.180
O5 O 0.794 0.703 0.209
O6 O 0.808 0.580 0.703
```

Calculated values
The total energy is -83.11 eV/cell. The value obtained for the density of states at the Fermi level is 0.83 states/eV/atom. As for the mass density: 7.74 g cm⁻³.